[1]
La3NdMg4 | PBE | optimized geometry

The structure belongs to space group P4/mmm (No. 123); the cell edges are 3.946, 3.946 and 15.799 Å and the angles 90.00°, 90.00° and 90.00°. The asymmetric unit holds La at (0.000, 0.000, 0.000), La at (0.000, 0.000, 0.253), Nd at (0.000, 0.000, 0.500), Mg at (0.500, 0.500, 0.126) and Mg at (0.500, 0.500, 0.380).

The calculation puts the uncorrected energy at -26.82 eV/f.u. The value obtained for the formation energy is -111 meV per atom.

***

[2]
VFeNiSn | PBE | optimized geometry

The structure belongs to space group F-43m (No. 216); the cell edges are 6.063, 6.063 and 6.063 Å and the angles 90.00°, 90.00° and 90.00°. The asymmetric unit holds V at (0.000, 0.000, 0.000), Fe at (0.250, 0.250, 0.750), Ni at (0.250, 0.250, 0.250) and Sn at (0.000, 0.000, 0.500).

The calculation puts the uncorrected energy at -27.55 eV/f.u. The value obtained for the formation energy is -46 meV per atom.

***

[3]
V3PW | PBE | optimized geometry

The structure belongs to space group Pm-3m (No. 221); the cell edges are 4.263, 4.263 and 4.263 Å and the angles 90.00°, 90.00° and 90.00°. The asymmetric unit holds V at (0.000, 0.000, 0.500), P at (0.000, 0.000, 0.000) and W at (0.500, 0.500, 0.500).

The value obtained for the polymorph energy (0 for the lowest one) is 640.5 meV per atom. The calculation puts the uncorrected energy at -43.58 eV/f.u. The value obtained for the formation energy is 428 meV per atom.

***

[4]
Cr2CoP | PBE | optimized geometry

The structure belongs to space group Cmmm (No. 65); the cell edges are 4.579, 7.401 and 2.613 Å and the angles 90.00°, 90.00° and 90.00°. The asymmetric unit holds Cr at (0.250, 0.250, 0.000), Co at (0.000, 0.000, 0.500) and P at (0.000, 0.500, 0.500).

The calculation puts the uncorrected energy at -32.10 eV/f.u. The value obtained for the formation energy is -83 meV per atom.

***

[5]
ReSb3N | PBE | optimized geometry

The structure belongs to space group Pm-3m (No. 221); the cell edges are 4.550, 4.550 and 4.550 Å and the angles 90.00°, 90.00° and 90.00°. The asymmetric unit holds Re at (0.000, 0.000, 0.000), Sb at (0.000, 0.500, 0.500) and N at (0.500, 0.500, 0.500).

The calculation puts the formation energy without anion corrections at 5.35 eV/f.u. The value obtained for the polymorph energy (0 for the lowest one) is 0.0 meV per atom. The calculation puts the uncorrected energy at -27.79 eV/f.u.

***

[6]
SmHoEr2 | PBE | optimized geometry

The structure belongs to space group Fm-3m (No. 225); the cell edges are 7.987, 7.987 and 7.987 Å and the angles 90.00°, 90.00° and 90.00°. The asymmetric unit holds Sm at (0.000, 0.000, 0.000), Ho at (0.000, 0.000, 0.500) and Er at (0.250, 0.250, 0.250).

The value obtained for the polymorph energy (0 for the lowest one) is 121.1 meV per atom. The calculation puts the uncorrected energy at -17.89 eV/f.u. The value obtained for the formation energy is 133 meV per atom.

***

[7]
SrBi2Pb2 | PBE | optimized geometry

The structure belongs to space group I4/mmm (No. 139); the cell edges are 4.706, 4.706 and 16.329 Å and the angles 90.00°, 90.00° and 90.00°. The asymmetric unit holds Sr at (0.000, 0.000, 0.000), Bi at (0.000, 0.000, 0.404) and Pb at (0.000, 0.500, 0.250).

The calculation puts the uncorrected energy at -18.24 eV/f.u. The value obtained for the formation energy is -275 meV per atom.

***

[8]
PuMn2Sn | PBE | optimized geometry

The structure belongs to space group P4/mmm (No. 123); the cell edges are 4.687, 4.687 and 3.208 Å and the angles 90.00°, 90.00° and 90.00°. The asymmetric unit holds Pu at (0.000, 0.000, 0.000), Mn at (0.000, 0.500, 0.500) and Sn at (0.500, 0.500, 0.000).

The calculation puts the uncorrected energy at -36.65 eV/f.u. The value obtained for the formation energy is 5 meV per atom.